Record 1
First-principles (PBE) data for an optimized crystal structure of LaPm2Nd, as listed in Alexandria via LeMat-Bulk.

Unit cell a=5.196 b=5.210 c=5.210 alpha=90.00 beta=90.00 gamma=90.00
Fractional positions:
La 0.500 0.000 0.000
Nd 0.500 0.500 0.500
Pm 0.000 0.000 0.500
Pm 0.000 0.500 0.000

Properties
VASP energy = -0.3516 Ry per atom
V = 35.258 Å³ per atom
total moment = 0.0 μB/cell
ΔE to the lowest computed polymorph = 20 meV per atom
E_form = 0.0153 eV/atom


Record 2
First-principles (PBE) data for an optimized crystal structure of CaLuCd4, as listed in Alexandria via LeMat-Bulk.

Unit cell a=5.925 b=5.925 c=5.925 alpha=60.00 beta=60.00 gamma=60.00
Fractional positions:
Ca 0.250 0.250 0.250
Lu 0.000 0.000 0.000
Cd 0.625 0.625 0.124
Cd 0.625 0.124 0.625
Cd 0.625 0.625 0.625
Cd 0.124 0.625 0.625

Properties
VASP energy = -0.1413 Ry per atom
V = 24.509 Å³ per atom
total moment = 0.0 μB/cell
E_form = -0.2256 eV/atom


Record 3
First-principles (PBE) data for an optimized crystal structure of CsHg2Cl6, as listed in Alexandria via LeMat-Bulk.

Unit cell a=5.444 b=7.768 c=9.183 alpha=77.71 beta=72.76 gamma=69.49
Fractional positions:
Cs 0.000 0.500 0.500
Hg 0.170 0.731 0.930
Hg 0.830 0.269 0.070
Cl 0.689 0.685 0.937
Cl 0.311 0.315 0.063
Cl 0.994 0.833 0.179
Cl 0.319 0.700 0.662
Cl 0.006 0.167 0.821
Cl 0.681 0.300 0.338

Properties
VASP energy = -0.1598 Ry per atom
V = 38.311 Å³ per atom
raw formation energy = -679 kJ/mol of formula units
total moment = 0.0 μB/cell


Record 4
First-principles (PBE) data for an optimized crystal structure of YCrP2S, as listed in Alexandria via LeMat-Bulk.

Unit cell a=4.611 b=4.898 c=4.611 alpha=90.00 beta=90.00 gamma=90.00
Fractional positions:
Y 0.000 0.500 0.000
Cr 0.500 0.500 0.500
S 0.000 0.000 0.000
P 0.000 0.000 0.500
P 0.500 0.000 0.000

Properties
VASP energy = -0.3940 Ry per atom
V = 20.827 Å³ per atom
raw formation energy = 408 kJ/mol of formula units
total moment = 0.1 μB/cell
ΔE to the lowest computed polymorph = 1267 meV per atom


Record 5
First-principles (PBE) data for an optimized crystal structure of ZrBr2Cl, as listed in Alexandria via LeMat-Bulk.

Unit cell a=4.978 b=4.978 c=4.978 alpha=60.00 beta=60.00 gamma=60.00
Fractional positions:
Br 0.250 0.250 0.250
Br 0.750 0.750 0.750
Zr 0.500 0.500 0.500
Cl 0.000 0.000 0.000

Properties
VASP energy = -0.2964 Ry per atom
V = 21.808 Å³ per atom
raw formation energy = -231 kJ/mol of formula units
total moment = 1.0 μB/cell
ΔE to the lowest computed polymorph = 820 meV per atom


Record 6
First-principles (PBE) data for an optimized crystal structure of Pm3YTm2Sb6, as listed in Alexandria via LeMat-Bulk.

Unit cell a=4.428 b=8.844 c=9.889 alpha=102.78 beta=102.94 gamma=90.00
Fractional positions:
Pm 0.500 0.500 0.000
Pm 0.834 0.167 0.668
Pm 0.166 0.833 0.332
Y 0.500 0.000 0.000
Tm 0.833 0.667 0.666
Tm 0.167 0.333 0.334
Sb 0.335 0.910 0.669
Sb 0.669 0.577 0.338
Sb 0.665 0.090 0.331
Sb 0.003 0.247 0.005
Sb 0.997 0.753 0.995
Sb 0.331 0.423 0.662

Properties
VASP energy = -0.4170 Ry per atom
V = 30.631 Å³ per atom
raw formation energy = -1321 kJ/mol of formula units
total moment = 0.0 μB/cell


Record 7
First-principles (PBE) data for an optimized crystal structure of LiAlCo2, as listed in Alexandria via LeMat-Bulk.

Unit cell a=8.403 b=8.403 c=8.403 alpha=17.92 beta=17.92 gamma=17.92
Fractional positions:
Al 0.750 0.750 0.750
Co 0.004 0.004 0.004
Co 0.496 0.496 0.496
Li 0.250 0.250 0.250

Properties
VASP energy = -0.3649 Ry per atom
V = 12.264 Å³ per atom
total moment = 2.2 μB/cell
E_form = 0.0026 eV/atom


Record 8
First-principles (PBE) data for an optimized crystal structure of U2TcPb, as listed in Alexandria via LeMat-Bulk.

Unit cell a=3.757 b=3.757 c=6.390 alpha=90.00 beta=90.00 gamma=90.00
Fractional positions:
Pb 0.500 0.500 0.500
U 0.000 0.000 0.808
U 0.000 0.000 0.192
Tc 0.500 0.500 0.000

Properties
VASP energy = -0.6577 Ry per atom
V = 22.543 Å³ per atom
total moment = 0.8 μB/cell
ΔE to the lowest computed polymorph = 0 meV per atom
E_form = 0.2145 eV/atom


Record 9
First-principles (PBE) data for an optimized crystal structure of CaAg2Os, as listed in Alexandria via LeMat-Bulk.

Unit cell a=4.768 b=2.745 c=5.813 alpha=76.75 beta=90.00 gamma=90.00
Fractional positions:
Ca 0.000 0.457 0.498
Os 0.500 0.799 0.774
Ag 0.000 0.153 0.988
Ag 0.500 0.091 0.240

Properties
VASP energy = -0.3151 Ry per atom
V = 18.518 Å³ per atom
total moment = 0.0 μB/cell
ΔE to the lowest computed polymorph = 7 meV per atom
E_form = 0.4465 eV/atom


Record 10
First-principles (PBE) data for an optimized crystal structure of Ca2InCu2, as listed in Alexandria via LeMat-Bulk.

Unit cell a=3.500 b=3.500 c=9.865 alpha=79.78 beta=79.78 gamma=90.00
Fractional positions:
Ca 0.380 0.380 0.241
Ca 0.620 0.620 0.759
Cu 0.750 0.250 0.500
Cu 0.250 0.750 0.500
In 0.000 0.000 0.000

Properties
VASP energy = -0.2296 Ry per atom
V = 23.391 Å³ per atom
total moment = 0.0 μB/cell
E_form = -0.1378 eV/atom


Record 11
First-principles (PBE) data for an optimized crystal structure of Er3ZnGa2, as listed in Alexandria via LeMat-Bulk.

Unit cell a=3.529 b=3.529 c=10.659 alpha=90.00 beta=90.00 gamma=90.00
Fractional positions:
Er 0.000 0.000 0.000
Er 0.000 0.000 0.663
Er 0.000 0.000 0.337
Zn 0.500 0.500 0.500
Ga 0.500 0.500 0.829
Ga 0.500 0.500 0.171

Properties
VASP energy = -0.2947 Ry per atom
V = 22.118 Å³ per atom
total moment = 0.0 μB/cell
ΔE to the lowest computed polymorph = 10 meV per atom
E_form = -0.5065 eV/atom


Record 12
First-principles (PBE) data for an optimized crystal structure of CdCo2Ru, as listed in Alexandria via LeMat-Bulk.

Unit cell a=8.911 b=8.911 c=8.911 alpha=17.54 beta=17.54 gamma=17.54
Fractional positions:
Cd 0.747 0.747 0.747
Co 0.991 0.991 0.991
Co 0.253 0.253 0.253
Ru 0.510 0.510 0.510

Properties
VASP energy = -0.4247 Ry per atom
V = 14.026 Å³ per atom
total moment = 3.2 μB/cell
E_form = 0.3225 eV/atom


Record 13
First-principles (PBE) data for an optimized crystal structure of TbDyInGa, as listed in Alexandria via LeMat-Bulk.

Unit cell a=3.600 b=3.600 c=7.670 alpha=90.00 beta=90.00 gamma=90.00
Fractional positions:
Tb 0.500 0.500 0.122
Dy 0.500 0.500 0.592
In 0.000 0.000 0.856
Ga 0.000 0.000 0.358

Properties
VASP energy = -0.3140 Ry per atom
V = 24.849 Å³ per atom
total moment = 0.0 μB/cell
ΔE to the lowest computed polymorph = 0 meV per atom
E_form = -0.5227 eV/atom


Record 14
First-principles (PBE) data for an optimized crystal structure of LiCeThRe, as listed in Alexandria via LeMat-Bulk.

Unit cell a=5.043 b=5.043 c=5.043 alpha=60.00 beta=60.00 gamma=60.00
Fractional positions:
Re 0.000 0.000 0.000
Ce 0.250 0.250 0.250
Th 0.750 0.750 0.750
Li 0.500 0.500 0.500

Properties
VASP energy = -0.5010 Ry per atom
V = 22.677 Å³ per atom
total moment = 0.3 μB/cell
E_form = 0.1118 eV/atom


Record 15
First-principles (PBE) data for an optimized crystal structure of NdInI2, as listed in Alexandria via LeMat-Bulk.

Unit cell a=4.242 b=4.242 c=11.221 alpha=79.11 beta=79.11 gamma=60.00
Fractional positions:
I 0.093 0.093 0.720
I 0.907 0.907 0.280
Nd 0.000 0.000 0.000
In 0.500 0.500 0.500

Properties
VASP energy = -0.2254 Ry per atom
V = 42.656 Å³ per atom
raw formation energy = -160 kJ/mol of formula units
total moment = 0.0 μB/cell


Record 16
First-principles (PBE) data for an optimized crystal structure of Bi2PtSe, as listed in Alexandria via LeMat-Bulk.

Unit cell a=3.964 b=3.964 c=7.993 alpha=75.64 beta=75.64 gamma=60.00
Fractional positions:
Bi 0.075 0.075 0.776
Bi 0.261 0.261 0.217
Pt 0.667 0.667 0.000
Se 0.498 0.498 0.507

Properties
VASP energy = -0.3327 Ry per atom
V = 26.055 Å³ per atom
raw formation energy = -79 kJ/mol of formula units
total moment = 0.0 μB/cell


Record 17
First-principles (PBE) data for an optimized crystal structure of ZnIn2Te4, as listed in Alexandria via LeMat-Bulk.

Unit cell a=6.285 b=6.285 c=6.215 alpha=90.00 beta=90.00 gamma=90.00
Fractional positions:
Zn 0.000 0.000 0.000
In 0.500 0.000 0.500
In 0.000 0.500 0.500
Te 0.736 0.264 0.786
Te 0.264 0.264 0.214
Te 0.264 0.736 0.786
Te 0.736 0.736 0.214

Properties
VASP energy = -0.2303 Ry per atom
V = 35.067 Å³ per atom
raw formation energy = -252 kJ/mol of formula units
total moment = 0.0 μB/cell


Record 18
First-principles (PBE) data for an optimized crystal structure of Pu5GeSe4, as listed in Alexandria via LeMat-Bulk.

Unit cell a=5.861 b=7.205 c=7.205 alpha=80.48 beta=66.00 gamma=66.00
Fractional positions:
Pu 0.900 0.401 0.802
Pu 0.300 0.802 0.599
Pu 0.702 0.198 0.401
Pu 0.102 0.599 0.198
Pu 0.501 0.000 0.000
Ge 0.001 0.000 0.000
Se 0.401 0.404 0.797
Se 0.804 0.797 0.596
Se 0.198 0.203 0.404
Se 0.601 0.596 0.203

Properties
VASP energy = -0.7568 Ry per atom
V = 25.393 Å³ per atom
raw formation energy = -1231 kJ/mol of formula units
total moment = 16.5 μB/cell


Record 19
First-principles (PBE) data for an optimized crystal structure of BaLa2Y, as listed in Alexandria via LeMat-Bulk.

Unit cell a=7.378 b=7.378 c=7.378 alpha=148.63 beta=129.34 gamma=60.81
Fractional positions:
Ba 0.265 0.765 0.500
La 0.991 0.991 0.000
La 0.734 0.234 0.500
Y 0.510 0.510 0.000

Properties
VASP energy = -0.3185 Ry per atom
V = 40.065 Å³ per atom
total moment = 0.0 μB/cell
ΔE to the lowest computed polymorph = 120 meV per atom
E_form = 0.2267 eV/atom


Record 20
First-principles (PBE) data for an optimized crystal structure of MgTc2Mo, as listed in Alexandria via LeMat-Bulk.

Unit cell a=9.274 b=9.274 c=9.274 alpha=17.51 beta=17.51 gamma=17.51
Fractional positions:
Mg 0.250 0.250 0.250
Mo 0.750 0.750 0.750
Tc 0.004 0.004 0.004
Tc 0.496 0.496 0.496

Properties
VASP energy = -0.5939 Ry per atom
V = 15.760 Å³ per atom
total moment = 0.0 μB/cell
E_form = 0.2085 eV/atom